1.
AcCe2TcN4 (PBE, relaxed); raw formation energy = -1.05 eV per atom; E_tot = -8.506 eV/atom; V = 15.97 Å³ per atom; density of states at the Fermi level = 0.617 states/eV/atom; SG = Cmcm
1.0
1.7689 -6.1176 0.0000
1.7689 6.1176 0.0000
0.0000 0.0000 11.8026
Ac Ce Tc N
2 4 2 8
direct
0.1080 0.8920 0.7500 Ac
0.8920 0.1080 0.2500 Ac
0.3674 0.6326 0.5478 Ce
0.3674 0.6326 0.9522 Ce
0.6326 0.3674 0.0478 Ce
0.6326 0.3674 0.4522 Ce
0.1511 0.8489 0.2500 Tc
0.8489 0.1511 0.7500 Tc
0.0000 0.0000 0.0000 N
0.0000 0.0000 0.5000 N
0.2628 0.7372 0.1214 N
0.2628 0.7372 0.3786 N
0.4435 0.5565 0.7500 N
0.5565 0.4435 0.2500 N
0.7372 0.2628 0.6214 N
0.7372 0.2628 0.8786 N

2.
NaCoSbTe2 (PBE, relaxed); energy relative to the lowest polymorph listed for this composition = 0 kJ/mol of formula units; raw formation energy = 0.03 eV per atom; E_tot = -3.737 eV/atom; V = 27.48 Å³ per atom; density of states at the Fermi level = 1.009 states/eV/atom; SG = P4/mmm
1.0
5.3975 0.0000 0.0000
0.0000 5.3975 0.0000
0.0000 0.0000 4.7171
Na Co Sb Te
1 1 1 2
direct
0.0000 0.0000 0.0000 Na
0.5000 0.5000 0.5000 Co
0.5000 0.5000 0.0000 Sb
0.0000 0.5000 0.5000 Te
0.5000 0.0000 0.5000 Te

3.
Co2PbSe (PBE, relaxed); energy relative to the lowest polymorph listed for this composition = 51 kJ/mol of formula units; raw formation energy = 0.19 eV per atom; E_tot = -5.161 eV/atom; V = 17.71 Å³ per atom; density of states at the Fermi level = 0.852 states/eV/atom; SG = P4mm
1.0
3.2555 0.0000 0.0000
0.0000 3.2555 0.0000
0.0000 0.0000 6.6837
Co Pb Se
2 1 1
direct
0.0000 0.0000 0.0000 Co
0.5000 0.5000 0.2138 Co
0.0000 0.0000 0.4383 Pb
0.5000 0.5000 0.8744 Se